Below is a geometry-optimized Zr2Al2Te structure, with properties calculated at the PBE level.

Output
N(E_F) = 0.608 states/eV per atom
crystal system = tetragonal
polymorph energy (0 for the lowest one) = 0.000 eV per atom

a = 7.471 Å, b = 7.471 Å, c = 4.011 Å
α = 90.00°, β = 90.00°, γ = 90.00°
Fractional coordinates of all 10 atoms:
Zr1 0.170 0.330 0.000
Zr2 0.330 0.830 0.000
Zr3 0.670 0.170 0.000
Zr4 0.830 0.670 0.000
Al1 0.125 0.625 0.500
Al2 0.375 0.125 0.500
Al3 0.625 0.875 0.500
Al4 0.875 0.375 0.500
Te1 0.000 0.000 0.000
Te2 0.500 0.500 0.000

Below is a geometry-optimized Zr2AlTe structure, with properties calculated at the PBE level.

Output
N(E_F) = 0.499 states/eV per atom
crystal system = trigonal
polymorph energy (0 for the lowest one) = 0.316 eV per atom

a = 3.383 Å, b = 3.383 Å, c = 28.204 Å
α = 90.00°, β = 90.00°, γ = 120.00°
Fractional coordinates of all 12 atoms:
Zr1 0.000 0.000 0.000
Zr2 0.000 0.000 0.246
Zr3 0.333 0.667 0.667
Zr4 0.333 0.667 0.913
Zr5 0.667 0.333 0.333
Zr6 0.667 0.333 0.580
Al1 0.000 0.000 0.499
Al2 0.333 0.667 0.166
Al3 0.667 0.333 0.832
Te1 0.000 0.000 0.747
Te2 0.333 0.667 0.414
Te3 0.667 0.333 0.080

Below is a geometry-optimized Zr2AlTe6 structure, with properties calculated at the PBE level.

Output
N(E_F) = 0.611 states/eV per atom
crystal system = tetragonal

a = 6.844 Å, b = 6.844 Å, c = 12.382 Å
α = 90.00°, β = 90.00°, γ = 90.00°
Fractional coordinates of all 18 atoms:
Zr1 0.000 0.000 0.158
Zr2 0.000 0.000 0.842
Zr3 0.500 0.500 0.342
Zr4 0.500 0.500 0.658
Al1 0.000 0.000 0.500
Al2 0.500 0.500 0.000
Te1 0.195 0.195 0.334
Te2 0.195 0.195 0.666
Te3 0.212 0.212 0.000
Te4 0.288 0.712 0.500
Te5 0.305 0.695 0.166
Te6 0.305 0.695 0.834
Te7 0.695 0.305 0.166
Te8 0.695 0.305 0.834
Te9 0.712 0.288 0.500
Te10 0.788 0.788 0.000
Te11 0.805 0.805 0.334
Te12 0.805 0.805 0.666

Below is a geometry-optimized Zr2AlTe structure, with properties calculated at the PBE level.

Output
N(E_F) = 0.879 states/eV per atom
crystal system = monoclinic
polymorph energy (0 for the lowest one) = 0.063 eV per atom

a = 10.675 Å, b = 3.411 Å, c = 4.947 Å
α = 90.00°, β = 103.99°, γ = 90.00°
Fractional coordinates of all 8 atoms:
Zr1 0.000 0.000 0.000
Zr2 0.215 0.000 0.607
Zr3 0.500 0.500 0.000
Zr4 0.715 0.500 0.607
Al1 0.240 0.500 0.111
Al2 0.740 0.000 0.111
Te1 0.477 0.000 0.489
Te2 0.977 0.500 0.489

Below is a geometry-optimized ZrAlTe3 structure, with properties calculated at the PBE level.

Output
N(E_F) = 0.305 states/eV per atom
crystal system = monoclinic
polymorph energy (0 for the lowest one) = 0.122 eV per atom

a = 6.725 Å, b = 7.429 Å, c = 13.751 Å
α = 90.00°, β = 118.20°, γ = 90.00°
Fractional coordinates of all 20 atoms:
Zr1 0.167 0.128 0.246
Zr2 0.167 0.372 0.746
Zr3 0.833 0.628 0.254
Zr4 0.833 0.872 0.754
Al1 0.495 0.105 0.070
Al2 0.495 0.395 0.570
Al3 0.505 0.605 0.430
Al4 0.505 0.895 0.930
Te1 0.065 0.173 0.902
Te2 0.065 0.327 0.402
Te3 0.210 0.648 0.912
Te4 0.210 0.852 0.412
Te5 0.417 0.037 0.737
Te6 0.417 0.463 0.237
Te7 0.583 0.537 0.763
Te8 0.583 0.963 0.263
Te9 0.790 0.148 0.588
Te10 0.790 0.352 0.088
Te11 0.935 0.673 0.598
Te12 0.935 0.827 0.098

Below is a geometry-optimized ZrAl2Te6 structure, with properties calculated at the PBE level.

Output
crystal system = monoclinic

a = 9.115 Å, b = 9.115 Å, c = 7.648 Å
α = 101.16°, β = 101.16°, γ = 87.21°
Fractional coordinates of all 18 atoms:
Zr1 0.105 0.895 0.750
Zr2 0.895 0.105 0.250
Al1 0.221 0.400 0.688
Al2 0.400 0.221 0.188
Al3 0.600 0.779 0.812
Al4 0.779 0.600 0.312
Te1 0.024 0.189 0.636
Te2 0.038 0.611 0.809
Te3 0.189 0.024 0.136
Te4 0.336 0.476 0.413
Te5 0.389 0.962 0.691
Te6 0.476 0.336 0.913
Te7 0.524 0.664 0.087
Te8 0.611 0.038 0.309
Te9 0.664 0.524 0.587
Te10 0.811 0.976 0.864
Te11 0.962 0.389 0.191
Te12 0.976 0.811 0.364

In order of appearance, V = 224, 280, 580, 175, 605, 612 Å³/cell.
In order of appearance, energy relative to the elements, uncorrected = -0.3350, -0.1306, -0.5229, -0.3835, -0.4725, -0.4186 eV/atom.
In order of appearance, calculated total energy = -5.880, -6.126, -4.933, -6.379, -4.816, -4.294 eV/atom.